! Nb2VAs GGA-PBE optimized geometry; values from VASP
! Calculated total energy (eV for the cell shown): -32.34
&SYSTEM
  ibrav = 0, nat = 4, ntyp = 3
/
ATOMIC_SPECIES
Nb 92.91 Nb.upf
V 50.94 V.upf
As 74.92 As.upf
ATOMIC_POSITIONS crystal
Nb 0.090 0.090 0.090
Nb 0.910 0.910 0.910
V 0.000 0.000 0.000
As 0.500 0.500 0.500
CELL_PARAMETERS angstrom
1.467 0.847 9.366
-1.467 0.847 9.366
0.000 -1.694 9.366

! NbV5As4 GGA-PBE optimized geometry; values from VASP
! Calculated total energy (eV for the cell shown): -153.02
&SYSTEM
  ibrav = 0, nat = 20, ntyp = 3
/
ATOMIC_SPECIES
Nb 92.91 Nb.upf
V 50.94 V.upf
As 74.92 As.upf
ATOMIC_POSITIONS crystal
Nb 0.250 0.250 0.014
Nb 0.750 0.750 0.986
V 0.027 0.515 0.755
V 0.027 0.985 0.755
V 0.250 0.750 0.578
V 0.473 0.515 0.755
V 0.473 0.985 0.755
V 0.527 0.015 0.245
V 0.527 0.485 0.245
V 0.750 0.250 0.422
V 0.973 0.015 0.245
V 0.973 0.485 0.245
As 0.078 0.250 0.515
As 0.250 0.583 0.086
As 0.250 0.917 0.086
As 0.422 0.250 0.515
As 0.578 0.750 0.485
As 0.750 0.083 0.914
As 0.750 0.417 0.914
As 0.922 0.750 0.485
CELL_PARAMETERS angstrom
8.089 0.000 0.000
0.000 8.204 0.000
0.000 0.000 4.817

! Nb3VAs GGA-PBE optimized geometry; values from VASP
! Relative energy among the computed polymorphs (eV per atom): 0.070
&SYSTEM
  ibrav = 0, nat = 5, ntyp = 3
/
ATOMIC_SPECIES
Nb 92.91 Nb.upf
V 50.94 V.upf
As 74.92 As.upf
ATOMIC_POSITIONS crystal
Nb 0.000 0.000 0.500
Nb 0.000 0.500 0.000
Nb 0.500 0.000 0.000
V 0.000 0.000 0.000
As 0.500 0.500 0.500
CELL_PARAMETERS angstrom
4.656 0.000 0.000
0.000 4.656 0.000
0.000 0.000 4.656

! Nb2VAs GGA-PBE optimized geometry; values from VASP
! Calculated total energy (eV for the cell shown): -65.62
&SYSTEM
  ibrav = 0, nat = 8, ntyp = 3
/
ATOMIC_SPECIES
Nb 92.91 Nb.upf
V 50.94 V.upf
As 74.92 As.upf
ATOMIC_POSITIONS crystal
Nb 0.119 0.625 0.994
Nb 0.375 0.369 0.494
Nb 0.631 0.125 0.006
Nb 0.875 0.881 0.506
V 0.250 0.750 0.500
V 0.500 0.500 0.000
As 0.000 0.000 0.000
As 0.750 0.250 0.500
CELL_PARAMETERS angstrom
-1.930 1.930 9.613
1.930 -1.930 9.613
1.930 1.930 -9.613